# 1
VASP calculation (PBE-GGA) on crystalline ScCdS3 at its relaxed geometry.

Properties
Total moment ... 0.000 μB/atom
E_form (uncorrected) ... -0.48 eV/atom
Symmetry ... Pm-3m, No. 221

Unit cell a=4.9130 b=4.9130 c=4.9130 alpha=90.00 beta=90.00 gamma=90.00
Atoms (fractional coordinates):
Sc1 0.0000 0.0000 0.0000
Cd1 0.5000 0.5000 0.5000
S1 0.0000 0.0000 0.5000
S2 0.0000 0.5000 0.0000
S3 0.5000 0.0000 0.0000

# 2
VASP calculation (PBE-GGA) on crystalline Sc2CdS at its relaxed geometry.

Properties
Total moment ... 0.000 μB/atom
E_form (uncorrected) ... -1.00 eV/atom
Symmetry ... R3m, No. 160

Unit cell a=8.0201 b=8.0201 c=8.0201 alpha=25.50 beta=25.50 gamma=25.50
Atoms (fractional coordinates):
Sc1 0.0000 0.0000 0.0000
Sc2 0.2043 0.2043 0.2043
Cd1 0.4352 0.4352 0.4352
S1 0.6032 0.6032 0.6032

# 3
VASP calculation (PBE-GGA) on crystalline ScCdS2 at its relaxed geometry.

Properties
Total moment ... 0.000 μB/atom
E_form (uncorrected) ... -1.16 eV/atom
Symmetry ... R-3m, No. 166

Unit cell a=8.2603 b=8.2603 c=8.2603 alpha=26.07 beta=26.07 gamma=26.07
Atoms (fractional coordinates):
Sc1 0.0000 0.0000 0.0000
Cd1 0.5000 0.5000 0.5000
S1 0.3925 0.3925 0.3925
S2 0.6075 0.6075 0.6075

# 4
VASP calculation (PBE-GGA) on crystalline Sc2CdS at its relaxed geometry.

Properties
Total moment ... 0.274 μB/atom
E_form (uncorrected) ... -0.66 eV/atom
Symmetry ... I-42d, No. 122

Unit cell a=6.1509 b=6.1509 c=6.1509 alpha=106.67 beta=106.67 gamma=115.23
Atoms (fractional coordinates):
Sc1 0.0782 0.6250 0.9532
Sc2 0.3750 0.3282 0.4532
Sc3 0.6718 0.1250 0.0468
Sc4 0.8750 0.9218 0.5468
Cd1 0.2500 0.7500 0.5000
Cd2 0.5000 0.5000 0.0000
S1 0.0000 0.0000 0.0000
S2 0.7500 0.2500 0.5000

# 5
VASP calculation (PBE-GGA) on crystalline Sc2CdS2 at its relaxed geometry.

Properties
Total moment ... 0.000 μB/atom
E_form (uncorrected) ... -1.10 eV/atom
Symmetry ... P4/mbm, No. 127

Unit cell a=7.4767 b=7.4767 c=3.2962 alpha=90.00 beta=90.00 gamma=90.00
Atoms (fractional coordinates):
Sc1 0.1518 0.3482 0.0000
Sc2 0.3482 0.8482 0.0000
Sc3 0.6518 0.1518 0.0000
Sc4 0.8482 0.6518 0.0000
Cd1 0.0000 0.0000 0.5000
Cd2 0.5000 0.5000 0.5000
S1 0.1405 0.6405 0.5000
S2 0.3595 0.1405 0.5000
S3 0.6405 0.8595 0.5000
S4 0.8595 0.3595 0.5000

# 6
VASP calculation (PBE-GGA) on crystalline Sc2CdS at its relaxed geometry.

Properties
Total moment ... 0.000 μB/atom
E_form (uncorrected) ... -0.72 eV/atom
Symmetry ... R-3m, No. 166

Unit cell a=9.2142 b=9.2142 c=9.2142 alpha=21.85 beta=21.85 gamma=21.85
Atoms (fractional coordinates):
Sc1 0.1114 0.1114 0.1114
Sc2 0.8886 0.8886 0.8886
Cd1 0.0000 0.0000 0.0000
S1 0.5000 0.5000 0.5000

# 7
VASP calculation (PBE-GGA) on crystalline YSc2CdS at its relaxed geometry.

Properties
Total moment ... 0.000 μB/atom
E_form (uncorrected) ... -0.79 eV/atom
Symmetry ... P4/mmm, No. 123

Unit cell a=4.8551 b=4.8551 c=5.1597 alpha=90.00 beta=90.00 gamma=90.00
Atoms (fractional coordinates):
Y1 0.0000 0.0000 0.0000
Sc1 0.0000 0.5000 0.5000
Sc2 0.5000 0.0000 0.5000
Cd1 0.5000 0.5000 0.0000
S1 0.0000 0.0000 0.5000

# 8
VASP calculation (PBE-GGA) on crystalline ZrSc2CdS at its relaxed geometry.

Properties
Total moment ... 0.000 μB/atom
E_form (uncorrected) ... -0.70 eV/atom
Symmetry ... P4/mmm, No. 123

Unit cell a=4.7965 b=4.7965 c=4.8726 alpha=90.00 beta=90.00 gamma=90.00
Atoms (fractional coordinates):
Zr1 0.0000 0.0000 0.0000
Sc1 0.0000 0.5000 0.5000
Sc2 0.5000 0.0000 0.5000
Cd1 0.5000 0.5000 0.0000
S1 0.0000 0.0000 0.5000

# 9
VASP calculation (PBE-GGA) on crystalline CdSeS2 at its relaxed geometry.

Properties
Total moment ... 0.000 μB/atom
E_form (uncorrected) ... -0.13 eV/atom
Symmetry ... P-1, No. 2

Unit cell a=4.4944 b=4.5076 c=13.4307 alpha=87.59 beta=87.73 gamma=61.29
Atoms (fractional coordinates):
Cd1 0.1735 0.1747 0.4164
Cd2 0.8265 0.8253 0.5836
Se1 0.1591 0.1590 0.6306
Se2 0.8409 0.8410 0.3694
S1 0.3697 0.3671 0.0993
S2 0.3847 0.3861 0.9002
S3 0.6153 0.6139 0.0998
S4 0.6303 0.6329 0.9007

# 10
VASP calculation (PBE-GGA) on crystalline CdSeS2 at its relaxed geometry.

Properties
Total moment ... 0.000 μB/atom
E_form (uncorrected) ... 0.08 eV/atom
Symmetry ... I-42d, No. 122

Unit cell a=8.1348 b=8.1348 c=8.1348 alpha=142.11 beta=142.11 gamma=54.66
Atoms (fractional coordinates):
Cd1 0.0000 0.0000 0.0000
Cd2 0.7500 0.2500 0.5000
Se1 0.2500 0.7500 0.5000
Se2 0.5000 0.5000 0.0000
S1 0.1492 0.6250 0.0242
S2 0.3750 0.3992 0.5242
S3 0.6008 0.1250 0.9758
S4 0.8750 0.8508 0.4758

# 11
VASP calculation (PBE-GGA) on crystalline CdSe2S2 at its relaxed geometry.

Properties
Total moment ... 0.000 μB/atom
E_form (uncorrected) ... 0.19 eV/atom
Symmetry ... P4/mbm, No. 127

Unit cell a=8.1426 b=8.1426 c=4.0094 alpha=90.00 beta=90.00 gamma=90.00
Atoms (fractional coordinates):
Cd1 0.0000 0.0000 0.0000
Cd2 0.5000 0.5000 0.0000
Se1 0.2385 0.2615 0.0000
Se2 0.2615 0.7615 0.0000
Se3 0.7385 0.2385 0.0000
Se4 0.7615 0.7385 0.0000
S1 0.1576 0.6576 0.5000
S2 0.3424 0.1576 0.5000
S3 0.6576 0.8424 0.5000
S4 0.8424 0.3424 0.5000

# 12
VASP calculation (PBE-GGA) on crystalline Cd2SeS6 at its relaxed geometry.

Properties
Total moment ... 0.000 μB/atom
E_form (uncorrected) ... -0.07 eV/atom
Symmetry ... C2/m, No. 12

Unit cell a=8.3783 b=8.3783 c=4.1369 alpha=101.04 beta=101.04 gamma=72.65
Atoms (fractional coordinates):
Cd1 0.1768 0.8232 0.0000
Cd2 0.8232 0.1768 0.0000
Se1 0.0000 0.0000 0.5000
S1 0.1844 0.5126 0.7729
S2 0.4064 0.4064 0.0363
S3 0.4874 0.8156 0.2271
S4 0.5126 0.1844 0.7729
S5 0.5936 0.5936 0.9637
S6 0.8156 0.4874 0.2271

| no. | volume (Å³/atom) |
| --- | --- |
| 1 | 23.72 |
| 2 | 21.05 |
| 3 | 23.98 |
| 4 | 22.22 |
| 5 | 18.43 |
| 6 | 23.75 |
| 7 | 24.32 |
| 8 | 22.42 |
| 9 | 29.80 |
| 10 | 25.21 |
| 11 | 26.58 |
| 12 | 29.92 |